(1)
Compound: KNa2Sn2
Source: Alexandria via LeMat-Bulk
Functional: PBE
Structure: relaxed

Cell lengths 13.073, 4.661, 6.282 Å; angles 90.00, 98.39, 90.00 degrees
Space group C2/m (No. 12)
One atom of each set of equivalent atoms:
K 0.000 0.000 0.000 x2
Na 0.158 0.500 0.587 x4
Sn 0.214 0.500 0.110 x4

Summary:
M_tot = 0.000 μB per cell
DOS at the Fermi energy = 2.11 states/eV/f.u.
ΔE to the lowest computed polymorph = 0 meV per atom
energy = -2.516 eV per atom


(2)
Compound: Tl12Pb6Au
Source: Alexandria via LeMat-Bulk
Functional: PBE
Structure: relaxed

Cell lengths 11.8750, 11.8750, 14.7796 Å; angles 90.00, 90.00, 120.00 degrees
Space group R-3 (No. 148, hexagonal axes)
One atom of each set of equivalent atoms:
Tl 0.0468 0.8648 0.3076 x18
Tl 0.0683 0.2317 0.9169 x18
Pb 0.0432 0.5915 0.2060 x18
Au 0.0000 0.0000 0.5000 x3

Summary:
M_tot = 0.000 μB per cell
DOS at the Fermi energy = 8.91 states/eV/f.u.
energy = -2.821 eV per atom


(3)
Compound: HfZn2As
Source: Alexandria via LeMat-Bulk
Functional: PBE
Structure: relaxed

Cell lengths 7.505, 7.505, 5.258 Å; angles 90.00, 90.00, 90.00 degrees
Space group I-42d (No. 122)
One atom of each set of equivalent atoms:
Hf 0.000 0.000 0.000 x4
Zn 0.221 0.250 0.625 x8
As 0.000 0.000 0.500 x4

Summary:
M_tot = 0.000 μB per cell
DOS at the Fermi energy = 1.80 states/eV/f.u.
energy = -4.402 eV per atom


(4)
Compound: CePu2Tl
Source: Alexandria via LeMat-Bulk
Functional: PBE
Structure: relaxed

Cell lengths 4.068, 4.068, 6.734 Å; angles 90.00, 90.00, 90.00 degrees
Space group P4/mmm (No. 123)
One atom of each set of equivalent atoms:
Ce 0.000 0.000 0.000 x1
Pu 0.500 0.500 0.254 x2
Tl 0.000 0.000 0.500 x1

Summary:
M_tot = 14.164 μB per cell
DOS at the Fermi energy = 13.92 states/eV/f.u.
ΔE to the lowest computed polymorph = 112 meV per atom
energy = -9.169 eV per atom


(5)
Compound: Sr2PdI2
Source: Alexandria via LeMat-Bulk
Functional: PBE
Structure: relaxed

Cell lengths 5.125, 5.125, 16.012 Å; angles 90.00, 90.00, 90.00 degrees
Space group I4/mmm (No. 139)
One atom of each set of equivalent atoms:
Sr 0.000 0.000 0.121 x4
Pd 0.000 0.000 0.500 x2
I 0.000 0.500 0.250 x4

Summary:
ΔE_f (raw) = -58.3 kJ per mole of atoms
M_tot = 0.000 μB per cell
DOS at the Fermi energy = 0.00 states/eV/f.u.
ΔE to the lowest computed polymorph = 269 meV per atom
energy = -2.935 eV per atom


(6)
Compound: Li2AlIr
Source: Alexandria via LeMat-Bulk
Functional: PBE
Structure: relaxed

Cell lengths 3.605, 3.605, 8.589 Å; angles 90.00, 90.00, 90.00 degrees
Space group I4/mmm (No. 139)
One atom of each set of equivalent atoms:
Li 0.000 0.500 0.250 x4
Al 0.000 0.000 0.000 x2
Ir 0.000 0.000 0.500 x2

Summary:
M_tot = 0.000 μB per cell
DOS at the Fermi energy = 2.26 states/eV/f.u.
energy = -4.450 eV per atom


(7)
Compound: CaPr2Ag2Ge2
Source: Alexandria via LeMat-Bulk
Functional: PBE
Structure: relaxed

Cell lengths 4.6164, 4.6164, 28.8192 Å; angles 90.00, 90.00, 120.00 degrees
Space group R-3m (No. 166, hexagonal axes)
One atom of each set of equivalent atoms:
Ca 0.0000 0.0000 0.0000 x3
Pr 0.0000 0.0000 0.1262 x6
Ag 0.0000 0.0000 0.3971 x6
Ge 0.0000 0.0000 0.2581 x6

Summary:
M_tot = 0.000 μB per cell
DOS at the Fermi energy = 2.45 states/eV/f.u.
energy = -4.222 eV per atom


(8)
Compound: Pr2DyHoTe5
Source: Alexandria via LeMat-Bulk
Functional: PBE
Structure: relaxed

Cell lengths 5.525, 5.525, 11.563 Å; angles 90.00, 90.00, 90.00 degrees
Space group P4/mmm (No. 123)
One atom of each set of equivalent atoms:
Pr 0.000 0.000 0.167 x2
Dy 0.500 0.500 0.500 x1
Ho 0.500 0.500 0.000 x1
Te 0.000 0.000 0.500 x1
Te 0.000 0.500 0.000 x2
Te 0.500 0.500 0.254 x2

Summary:
ΔE_f (raw) = -80.2 kJ per mole of atoms
M_tot = 0.524 μB per cell
DOS at the Fermi energy = 5.63 states/eV/f.u.
energy = -4.658 eV per atom


(9)
Compound: Zn3Ga2Tc
Source: Alexandria via LeMat-Bulk
Functional: PBE
Structure: relaxed

Cell lengths 4.984, 8.954, 17.817 Å; angles 90.00, 90.00, 90.00 degrees
Space group Fmmm (No. 69)
One atom of each set of equivalent atoms:
Zn 0.000 0.000 0.134 x8
Zn 0.000 0.185 0.401 x16
Ga 0.246 0.000 0.000 x8
Ga 0.250 0.250 0.250 x8
Tc 0.000 0.000 0.282 x8

Summary:
M_tot = 1.069 μB per cell
DOS at the Fermi energy = 2.42 states/eV/f.u.
energy = -3.287 eV per atom


(10)
Compound: Li2HoIn
Source: Alexandria via LeMat-Bulk
Functional: PBE
Structure: relaxed

Cell lengths 4.536, 4.536, 4.499 Å; angles 90.00, 90.00, 90.00 degrees
Space group P4/mmm (No. 123)
One atom of each set of equivalent atoms:
Li 0.000 0.500 0.000 x2
Ho 0.000 0.000 0.500 x1
In 0.500 0.500 0.500 x1

Summary:
M_tot = 0.001 μB per cell
DOS at the Fermi energy = 3.67 states/eV/f.u.
ΔE to the lowest computed polymorph = 164 meV per atom
energy = -2.899 eV per atom


(11)
Compound: HfZrRh
Source: Alexandria via LeMat-Bulk
Functional: PBE
Structure: relaxed

Cell lengths 4.661, 10.587, 4.659 Å; angles 90.00, 90.00, 90.00 degrees
Space group Cmcm (No. 63)
One atom of each set of equivalent atoms:
Hf 0.000 0.096 0.250 x4
Zr 0.000 0.407 0.250 x4
Rh 0.000 0.252 0.750 x4

Summary:
M_tot = 0.000 μB per cell
DOS at the Fermi energy = 2.25 states/eV/f.u.
ΔE to the lowest computed polymorph = 2 meV per atom
energy = -9.218 eV per atom


(12)
Compound: Ac8Ir3BrCl4
Source: Alexandria via LeMat-Bulk
Functional: PBE
Structure: relaxed

Cell lengths 8.890, 8.896, 9.414 Å; angles 61.83, 89.98, 60.04 degrees
Space group P-1 (No. 2)
One atom of each set of equivalent atoms:
Ac 0.207 0.041 0.211 x2
Ac 0.234 0.533 0.201 x2
Ac 0.249 0.502 0.790 x2
Ac 0.249 0.959 0.790 x2
Ir 0.000 0.000 0.000 x1
Ir 0.000 0.500 0.000 x1
Ir 0.500 0.500 0.000 x1
Br 0.500 0.000 0.000 x1
Cl 0.000 0.000 0.500 x1
Cl 0.000 0.500 0.500 x1
Cl 0.500 0.000 0.500 x1
Cl 0.500 0.500 0.500 x1

Summary:
ΔE_f (raw) = -121.0 kJ per mole of atoms
M_tot = 0.000 μB per cell
DOS at the Fermi energy = 7.25 states/eV/f.u.
energy = -5.536 eV per atom


- Number 5 is which compound?
  Sr2PdI2